(1)
Density functional theory data (PBE) for crystalline DyScGe2 at its relaxed geometry.

Cell: 4.1675 3.8868 5.6213 Å, 90.00 111.76 90.00°
With the nearest neighbours (Å) after each atom.
Atoms (fractional coordinates):
Dy (0.7205, 0.0000, 0.9802)  7 Ge 2.86-3.15
Sc (0.4465, 0.5000, 0.4318)  7 Ge 2.89-3.13
Ge (0.1694, 0.5000, 0.8778)  2 Ge 2.67, 1 Sc 2.89, 4 Dy 2.90
Ge (0.9946, 0.0000, 0.5282)  2 Ge 2.67, 1 Dy 2.86, 4 Sc 2.89

Calculated values
DOS(E_F) = 0.678 states/eV/atom
Spin magnetization = 0.0 μB per cell
DFT total energy = -5.868 eV/atom
Symmetry = Amm2, No. 38

(2)
Density functional theory data (PBE) for crystalline DySc4Ge4 at its relaxed geometry.

Cell: 5.4471 8.8568 8.8568 Å, 90.00 90.00 90.00°
With the nearest neighbours (Å) after each atom.
Atoms (fractional coordinates):
Dy (0.0000, 0.0000, 0.0000)  4 Ge 3.00
Dy (0.5000, 0.5000, 0.5000)  4 Ge 3.00
Sc (0.3862, 0.3513, 0.8896)  5 Ge 2.72-2.85
Sc (0.8862, 0.6104, 0.8513)  5 Ge 2.72-2.85
Sc (0.3862, 0.6487, 0.1104)  5 Ge 2.72-2.85
Sc (0.1138, 0.1487, 0.6104)  5 Ge 2.72-2.85
Sc (0.6138, 0.8896, 0.6487)  5 Ge 2.72-2.85
Sc (0.1138, 0.8513, 0.3896)  5 Ge 2.72-2.85
Sc (0.8862, 0.3896, 0.1487)  5 Ge 2.72-2.85
Sc (0.6138, 0.1104, 0.3513)  5 Ge 2.72-2.85
Ge (0.6018, 0.7976, 0.3518)  1 Ge 2.56, 5 Sc 2.72-2.85
Ge (0.6018, 0.2024, 0.6482)  1 Ge 2.56, 5 Sc 2.72-2.85
Ge (0.1018, 0.8518, 0.7024)  1 Ge 2.56, 5 Sc 2.72-2.85
Ge (0.8982, 0.2976, 0.8518)  1 Ge 2.56, 5 Sc 2.72-2.85
Ge (0.8982, 0.7024, 0.1482)  1 Ge 2.56, 5 Sc 2.72-2.85
Ge (0.3982, 0.3518, 0.2024)  1 Ge 2.56, 5 Sc 2.72-2.85
Ge (0.3982, 0.6482, 0.7976)  1 Ge 2.56, 5 Sc 2.72-2.85
Ge (0.1018, 0.1482, 0.2976)  1 Ge 2.56, 5 Sc 2.72-2.85

Calculated values
DOS(E_F) = 0.841 states/eV/atom
Spin magnetization = 0.0 μB per cell
DFT total energy = -5.957 eV/atom
Symmetry = P4_2/n, No. 86

(3)
Density functional theory data (PBE) for crystalline Dy2ScGe2 at its relaxed geometry.

Cell: 4.2859 6.2958 9.5268 Å, 78.98 77.00 70.10°
With the nearest neighbours (Å) after each atom.
Atoms (fractional coordinates):
Dy (0.3179, 0.2710, 0.0932)  5 Ge 3.03-3.27
Dy (0.4847, 0.3455, 0.6851)  6 Ge 2.98-3.19
Dy (0.6821, 0.7290, 0.9068)  5 Ge 3.03-3.27
Dy (0.5153, 0.6545, 0.3149)  6 Ge 2.98-3.19
Sc (0.7775, 0.0778, 0.3672)  4 Ge 2.68-2.85
Sc (0.2225, 0.9222, 0.6328)  4 Ge 2.68-2.85
Ge (0.9827, 0.1490, 0.8857)  1 Ge 2.58, 1 Sc 2.85
Ge (0.1252, 0.3153, 0.4343)  1 Ge 2.63, 3 Sc 2.68-2.78
Ge (0.0173, 0.8510, 0.1143)  1 Ge 2.58, 1 Sc 2.85
Ge (0.8748, 0.6847, 0.5657)  1 Ge 2.63, 3 Sc 2.68-2.78

Calculated values
E above lowest polymorph = 0.03 eV per formula unit
DOS(E_F) = 0.629 states/eV/atom
Spin magnetization = 0.0 μB per cell
DFT total energy = -5.717 eV/atom
Symmetry = C2/m, No. 12

(4)
Density functional theory data (PBE) for crystalline DyScGeSe at its relaxed geometry.

Cell: 4.0077 4.0077 7.0054 Å, 73.38 73.38 60.00°
With the nearest neighbours (Å) after each atom.
Atoms (fractional coordinates):
Dy (0.6902, 0.6902, 0.9293)  3 Ge 2.86, 3 Se 2.94
Sc (0.1985, 0.1985, 0.4046)  3 Ge 2.74, 3 Se 2.84
Ge (0.9392, 0.9392, 0.1824)  3 Sc 2.74, 3 Dy 2.86
Se (0.4486, 0.4486, 0.6544)  3 Sc 2.84, 3 Dy 2.94

Calculated values
DOS(E_F) = 0.235 states/eV/atom
Spin magnetization = 0.0 μB per cell
DFT total energy = -6.065 eV/atom
E_form (uncorrected) = -1306 meV per atom
Symmetry = R3m, No. 160

(5)
Density functional theory data (PBE) for crystalline DyScZnGe at its relaxed geometry.

Cell: 4.8722 4.8722 4.8722 Å, 60.00 60.00 60.00°
With the nearest neighbours (Å) after each atom.
Atoms (fractional coordinates):
Sc (0.5000, 0.5000, 0.5000)  4 Zn 2.98, 4 Ge 2.98
Ge (0.2500, 0.2500, 0.2500)  4 Sc 2.98, 4 Dy 2.98
Zn (0.7500, 0.7500, 0.7500)  4 Dy 2.98, 4 Sc 2.98
Dy (0.0000, 0.0000, 0.0000)  4 Ge 2.98, 4 Zn 2.98

Calculated values
DOS(E_F) = 0.400 states/eV/atom
Spin magnetization = 0.0 μB per cell
DFT total energy = -4.726 eV/atom
Symmetry = F-43m, No. 216

(6)
Density functional theory data (PBE) for crystalline DyGeSe at its relaxed geometry.

Cell: 3.8740 3.8740 9.4997 Å, 101.77 101.77 90.00°
With the nearest neighbours (Å) after each atom.
Atoms (fractional coordinates):
Dy (0.3575, 0.3575, 0.7151)  5 Se 2.87-3.06
Dy (0.6425, 0.6425, 0.2849)  5 Se 2.87-3.06
Ge (0.0000, 0.5000, 0.0000)  4 Ge 2.74
Ge (0.5000, 0.0000, 0.0000)  4 Ge 2.74
Se (0.1893, 0.1893, 0.3787)  5 Dy 2.87-3.06
Se (0.8107, 0.8107, 0.6213)  5 Dy 2.87-3.06

Calculated values
DOS(E_F) = 0.266 states/eV/atom
Spin magnetization = 0.0 μB per cell
DFT total energy = -5.425 eV/atom
E_form (uncorrected) = -1190 meV per atom
Symmetry = I4/mmm, No. 139

(7)
Density functional theory data (PBE) for crystalline Dy4GeSe2 at its relaxed geometry.

Cell: 4.2003 7.2080 12.0956 Å, 90.00 90.00 90.00°
With the nearest neighbours (Å) after each atom.
Atoms (fractional coordinates):
Ge (0.0000, 0.0000, 0.5000)  6 Dy 2.71-2.83
Ge (0.0000, 0.5000, 0.0000)  6 Dy 2.71-2.83
Se (0.5000, 0.8971, 0.8170)  6 Dy 2.90-3.03
Se (0.5000, 0.1029, 0.1830)  6 Dy 2.90-3.03
Se (0.5000, 0.3971, 0.6830)  6 Dy 2.90-3.03
Se (0.5000, 0.6029, 0.3170)  6 Dy 2.90-3.03
Dy (0.0000, 0.6148, 0.7864)  1 Ge 2.71, 4 Se 2.90-2.95
Dy (0.0000, 0.3852, 0.2136)  1 Ge 2.71, 4 Se 2.90-2.95
Dy (0.0000, 0.1148, 0.7136)  1 Ge 2.71, 4 Se 2.90-2.95
Dy (0.0000, 0.8852, 0.2864)  1 Ge 2.71, 4 Se 2.90-2.95
Dy (0.5000, 0.7521, 0.5511)  2 Ge 2.83, 2 Se 3.02-3.03
Dy (0.5000, 0.2479, 0.4489)  2 Ge 2.83, 2 Se 3.02-3.03
Dy (0.5000, 0.7479, 0.0511)  2 Ge 2.83, 2 Se 3.02-3.03
Dy (0.5000, 0.2521, 0.9489)  2 Ge 2.83, 2 Se 3.02-3.03

Calculated values
DOS(E_F) = 0.681 states/eV/atom
Spin magnetization = 0.0 μB per cell
DFT total energy = -5.490 eV/atom
E_form (uncorrected) = -1205 meV per atom
Symmetry = Pbam, No. 55

(8)
Density functional theory data (PBE) for crystalline DyGe6Se8 at its relaxed geometry.

Cell: 7.6029 7.6029 7.6029 Å, 77.25 77.25 77.25°
With the nearest neighbours (Å) after each atom.
Atoms (fractional coordinates):
Dy (0.0000, 0.0000, 0.0000)  6 Se 2.89
Ge (0.6379, 0.4010, 0.8750)  3 Se 2.55-2.60
Ge (0.4010, 0.8750, 0.6379)  3 Se 2.55-2.60
Ge (0.8750, 0.6379, 0.4010)  3 Se 2.55-2.60
Ge (0.3621, 0.5990, 0.1250)  3 Se 2.55-2.60
Ge (0.5990, 0.1250, 0.3621)  3 Se 2.55-2.60
Ge (0.1250, 0.3621, 0.5990)  3 Se 2.55-2.60
Se (0.7202, 0.7202, 0.7202)  3 Ge 2.60
Se (0.2798, 0.2798, 0.2798)  3 Ge 2.60
Se (0.6715, 0.8598, 0.1866)  2 Ge 2.55-2.58
Se (0.8598, 0.1866, 0.6715)  2 Ge 2.55-2.58
Se (0.1866, 0.6715, 0.8598)  2 Ge 2.55-2.58
Se (0.3285, 0.1402, 0.8134)  2 Ge 2.55-2.58
Se (0.1402, 0.8134, 0.3285)  2 Ge 2.55-2.58
Se (0.8134, 0.3285, 0.1402)  2 Ge 2.55-2.58

Calculated values
DOS(E_F) = 0.492 states/eV/atom
Spin magnetization = 0.0 μB per cell
DFT total energy = -4.448 eV/atom
E_form (uncorrected) = -435 meV per atom
Symmetry = R-3, No. 148